No. 1
A plane-wave DFT calculation with PBE was carried out for a geometry-optimized KLi2Eu structure.

E   -3.6138 eV per atom
SG   No. 166

Lattice parameters (Å, degrees): 12.1085 12.1085 12.1085 18.36 18.36 18.36
Positions (direct):
K1 0.0000 0.0000 0.0000
Li1 0.2446 0.2446 0.2446
Li2 0.7554 0.7554 0.7554
Eu1 0.5000 0.5000 0.5000

***

No. 2
A plane-wave DFT calculation with PBE was carried out for a geometry-optimized CeZrS2O structure.

E   -7.8172 eV per atom
SG   No. 129

Lattice parameters (Å, degrees): 3.7548 3.7548 13.0465 90.00 90.00 90.00
Positions (direct):
Ce1 0.2500 0.2500 0.1029
Ce2 0.7500 0.7500 0.8971
Zr1 0.2500 0.2500 0.5913
Zr2 0.7500 0.7500 0.4087
S1 0.2500 0.2500 0.3877
S2 0.2500 0.2500 0.7928
S3 0.7500 0.7500 0.2072
S4 0.7500 0.7500 0.6123
O1 0.2500 0.7500 0.0000
O2 0.7500 0.2500 0.0000

***

No. 3
A plane-wave DFT calculation with PBE was carried out for a geometry-optimized Nb2CdHPd structure.

E   -6.0046 eV per atom
SG   No. 123

Lattice parameters (Å, degrees): 4.0641 4.0641 4.4459 90.00 90.00 90.00
Positions (direct):
Nb1 0.0000 0.5000 0.0000
Nb2 0.5000 0.0000 0.0000
Cd1 0.0000 0.0000 0.5000
H1 0.5000 0.5000 0.0000
Pd1 0.5000 0.5000 0.5000

***

No. 4
A plane-wave DFT calculation with PBE was carried out for a geometry-optimized Cs3Tm3ScSe8 structure.

E   -4.9730 eV per atom
SG   No. 166

Lattice parameters (Å, degrees): 9.7901 9.7901 9.7901 49.40 49.40 49.40
Positions (direct):
Cs1 0.0000 0.5000 0.5000
Cs2 0.5000 0.0000 0.5000
Cs3 0.5000 0.5000 0.0000
Tm1 0.0000 0.0000 0.5000
Tm2 0.0000 0.5000 0.0000
Tm3 0.5000 0.0000 0.0000
Sc1 0.5000 0.5000 0.5000
Se1 0.2281 0.2281 0.2281
Se2 0.2343 0.7225 0.7225
Se3 0.2775 0.2775 0.7657
Se4 0.2775 0.7657 0.2775
Se5 0.7225 0.2343 0.7225
Se6 0.7225 0.7225 0.2343
Se7 0.7657 0.2775 0.2775
Se8 0.7719 0.7719 0.7719